Record 1
Crystalline BaGaH at its relaxed geometry. Source: Alexandria, functional PBE.

Geometry as POSCAR:
```
BaGaH
1.0
4.9287 0.0000 0.0024
0.0000 4.4837 0.0000
-2.4429 0.0000 6.7125
Ba Ga H
2 2 2
Direct
0.8086 0.0000 0.4267
0.4710 0.5000 0.8129
0.1565 0.5000 0.1922
0.0839 0.0000 0.0144
0.4060 0.0000 0.6057
0.0760 0.5000 0.4198
```

Properties
total magnetic moment = 0.00 μB per formula unit
DFT total energy = -9.4 eV/f.u.
distance to the lowest polymorph of the same formula = 102 meV/atom

Record 2
Crystalline Tb4GeTe2S at its relaxed geometry. Source: Alexandria, functional PBE.

Geometry as POSCAR:
```
Tb4GeTe2S
1.0
4.1830 0.0000 0.0000
0.0000 7.4916 -0.2351
0.0000 2.5500 6.7215
Tb Ge Te S
4 1 2 1
Direct
0.0000 0.7125 0.7626
0.0000 0.2875 0.2374
0.5000 0.7175 0.2608
0.5000 0.2825 0.7392
0.0000 0.5000 0.5000
0.0000 0.0000 0.0000
0.5000 0.0000 0.5000
0.5000 0.5000 0.0000
```

Properties
formation energy from raw total energies = -11.70 eV per formula unit
total magnetic moment = 0.00 μB per formula unit
DFT total energy = -45.2 eV/f.u.

Record 3
Crystalline Na2Tm2IO6 at its relaxed geometry. Source: Alexandria, functional PBE.

Geometry as POSCAR:
```
Na2Tm2IO6
1.0
6.0172 -0.1295 0.1522
-3.0866 5.1668 0.1522
-0.9524 -1.6371 5.5101
Na Tm I O
2 2 1 6
Direct
0.8355 0.1645 0.0000
0.1645 0.8355 0.0000
0.3342 0.6658 0.5000
0.6658 0.3342 0.5000
0.0000 0.0000 0.5000
0.7368 0.7368 0.6865
0.0402 0.4022 0.7024
0.2632 0.2632 0.3135
0.4022 0.0402 0.7024
0.9598 0.5978 0.2976
0.5978 0.9598 0.2976
```

Properties
formation energy from raw total energies = -22.07 eV per formula unit
total magnetic moment = 1.01 μB per formula unit
DFT total energy = -64.9 eV/f.u.

Record 4
Crystalline SiNi2Pb at its relaxed geometry. Source: Alexandria, functional PBE.

Geometry as POSCAR:
```
SiNi2Pb
1.0
-4.0563 1.2598 1.2135
-1.3292 -4.2121 -0.0702
-0.7494 -2.2104 7.8297
Pb Ni Si
2 4 2
Direct
0.0000 0.0000 0.0000
0.7500 0.2500 0.5000
0.4920 0.1250 0.2500
0.2580 0.6250 0.2500
0.3750 0.5080 0.7500
0.8750 0.7420 0.7500
0.5000 0.5000 0.0000
0.2500 0.7500 0.5000
```

Properties
formation energy from raw total energies = 0.76 eV per formula unit
total magnetic moment = 0.00 μB per formula unit
DFT total energy = -19.9 eV/f.u.
distance to the lowest polymorph of the same formula = 319 meV/atom

Record 5
Crystalline Sr3ScAu at its relaxed geometry. Source: Alexandria, functional PBE.

Geometry as POSCAR:
```
Sr3ScAu
1.0
6.0249 0.0000 0.0000
0.0000 6.0249 0.0000
0.0000 0.0000 6.0249
Sc Sr Au
1 3 1
Direct
0.5000 0.5000 0.5000
0.0000 0.5000 0.0000
0.0000 0.0000 0.5000
0.5000 0.0000 0.0000
0.0000 0.0000 0.0000
```

Properties
total magnetic moment = 0.93 μB per formula unit
formation enthalpy at 0 K = 1 kJ per mole of atoms
DFT total energy = -14.6 eV/f.u.
distance to the lowest polymorph of the same formula = 0 meV/atom

Record 6
Crystalline Y6Pb2C at its relaxed geometry. Source: Alexandria, functional PBE.

Geometry as POSCAR:
```
Y6Pb2C
1.0
-3.4455 4.4496 3.3189
-5.6685 -5.4735 1.4536
4.7261 -2.7419 8.1055
Y Pb C
12 4 2
Direct
0.9019 0.9732 0.2536
0.8507 0.7172 0.5441
0.8201 0.6582 0.9565
0.6799 0.1582 0.5435
0.6493 0.2172 0.9559
0.5981 0.4732 0.2464
0.0981 0.0268 0.7464
0.1493 0.2828 0.4559
0.1799 0.3418 0.0435
0.3201 0.8418 0.4565
0.3507 0.7828 0.0441
0.4019 0.5268 0.7536
0.9308 0.3978 0.7380
0.5692 0.8978 0.7620
0.4308 0.1022 0.2380
0.0692 0.6022 0.2620
0.5000 0.5000 0.0000
0.0000 0.0000 0.5000
```

Properties
total magnetic moment = 1.33 μB per formula unit
formation enthalpy at 0 K = -36 kJ per mole of atoms
DFT total energy = -58.8 eV/f.u.